The following is a GGA-PBE calculation of crystalline TcNi6Pt4 at its relaxed geometry, from Alexandria via LeMat-Bulk.

POSCAR file:
```
TcNi6Pt4
1.0
-4.3451 0.2642 0.7099
1.6205 -2.5663 -2.8277
1.3258 -13.7398 13.2297
Ni Pt Tc
12 8 2
Direct
0.1996 0.3992 0.5893
0.5000 0.0000 0.5000
0.5000 0.0000 0.0000
0.9699 0.9399 0.8112
0.3349 0.6698 0.2500
0.0301 0.0601 0.3112
0.8004 0.6008 0.0893
0.8004 0.6008 0.4107
0.1996 0.3992 0.9107
0.6651 0.3302 0.7500
0.9699 0.9399 0.6888
0.0301 0.0601 0.1888
0.8538 0.7076 0.9511
0.5360 0.0719 0.6307
0.5360 0.0719 0.8693
0.4640 0.9281 0.3693
0.4640 0.9281 0.1307
0.1462 0.2924 0.4511
0.8538 0.7076 0.5489
0.1462 0.2924 0.0489
0.6816 0.3631 0.2500
0.3184 0.6369 0.7500
```

Output
The total magnetic moment is 2.45 μB/f.u. The uncorrected energy comes out at -6.19 eV/atom. As for the space-group type: No. 63. The density of states at the Fermi level comes out at 33.3 states/eV/cell. The value obtained for the formation energy is 1.2 eV/f.u.